# 1
Computed, not measured: a relaxed structure of Pr3CdIn2NiAu2 at the PBE-GGA level of DFT.

a b c (Å): 4.0641 13.6270 7.9074
angles (deg): 90.00 90.00 90.00
Space group Amm2 (No. 38)
Symmetry-distinct sites (fractional):
1 Pr 0.0000 0.0000 0.0000 [2 per cell]
2 Pr 0.0000 0.2007 0.6085 [4 per cell]
3 Cd 0.5000 0.0000 0.6481 [2 per cell]
4 In 0.5000 0.1188 0.2868 [4 per cell]
5 Ni 0.0000 0.0000 0.3981 [2 per cell]
6 Au 0.5000 0.1675 0.9069 [4 per cell]

Values from the calculation:
final energy: -4.264 eV per atom

=====

# 2
Computed, not measured: a relaxed structure of AlZnCoAu at the PBE-GGA level of DFT.

a b c (Å): 6.0994 6.0994 6.0994
angles (deg): 90.00 90.00 90.00
Space group F-43m (No. 216)
Symmetry-distinct sites (fractional):
1 Al 0.0000 0.0000 0.0000 [4 per cell]
2 Zn 0.2500 0.2500 0.7500 [4 per cell]
3 Co 0.2500 0.2500 0.2500 [4 per cell]
4 Au 0.0000 0.0000 0.5000 [4 per cell]

Values from the calculation:
excess energy over the best structure of this formula in the dataset: 14.2 kJ/mol of atoms

=====

# 3
Computed, not measured: a relaxed structure of ZnFeNiGe at the PBE-GGA level of DFT.

a b c (Å): 5.7898 5.7898 5.7898
angles (deg): 90.00 90.00 90.00
Space group F-43m (No. 216)
Symmetry-distinct sites (fractional):
1 Zn 0.0000 0.0000 0.0000 [4 per cell]
2 Fe 0.2500 0.2500 0.7500 [4 per cell]
3 Ni 0.2500 0.2500 0.2500 [4 per cell]
4 Ge 0.0000 0.0000 0.5000 [4 per cell]

Values from the calculation:
excess energy over the best structure of this formula in the dataset: 0.0 kJ/mol of atoms